[1]
Below is an optimized crystal structure of Tb2Ga4CoPt3, with properties calculated at the PBE-GGA level.

Output
- SG: P-4m2
- ΔH_f (0 K): -0.8334 eV per atom
- Energy: -5.493 eV per atom

Structure (CIF):
```
data_Tb2Ga4CoPt3
_chemical_formula_sum 'Tb2 Ga4 Co1 Pt3'
_space_group_name_H-M_alt 'P 1'
_space_group_IT_number 1
_cell_length_a 4.0979
_cell_length_b 4.0979
_cell_length_c 10.8545
_cell_angle_alpha 90.00
_cell_angle_beta 90.00
_cell_angle_gamma 90.00
loop_
_space_group_symop_operation_xyz
'x,y,z'
loop_
_atom_site_label
_atom_site_type_symbol
_atom_site_fract_x
_atom_site_fract_y
_atom_site_fract_z
Tb1 Tb 0.5000 0.0000 0.2599
Co1 Co 0.5000 0.5000 0.5000
Pt1 Pt 0.0000 0.5000 0.1431
Pt2 Pt 0.5000 0.0000 0.8569
Tb2 Tb 0.0000 0.5000 0.7401
Ga1 Ga 0.5000 0.5000 0.0000
Pt3 Pt 0.0000 0.0000 0.5000
Ga2 Ga 0.0000 0.5000 0.3735
Ga3 Ga 0.5000 0.0000 0.6265
Ga4 Ga 0.0000 0.0000 0.0000
```

=====

[2]
Below is an optimized crystal structure of Ti2Al5Ga, with properties calculated at the PBE-GGA level.

Output
- SG: Pbam
- ΔH_f (0 K): -0.3653 eV per atom
- Energy: -5.057 eV per atom

Structure (CIF):
```
data_Ti2Al5Ga
_chemical_formula_sum 'Ti4 Al10 Ga2'
_space_group_name_H-M_alt 'P 1'
_space_group_IT_number 1
_cell_length_a 3.9853
_cell_length_b 5.6122
_cell_length_c 11.2307
_cell_angle_alpha 90.00
_cell_angle_beta 90.00
_cell_angle_gamma 90.00
loop_
_space_group_symop_operation_xyz
'x,y,z'
loop_
_atom_site_label
_atom_site_type_symbol
_atom_site_fract_x
_atom_site_fract_y
_atom_site_fract_z
Al1 Al 0.0000 0.0000 0.7504
Ti1 Ti 0.5000 0.2500 0.1251
Al2 Al 0.5000 0.2514 0.3742
Ga1 Ga 0.0000 0.5000 0.0000
Al3 Al 0.0000 0.5000 0.7496
Al4 Al 0.0000 0.0000 0.0000
Al5 Al 0.5000 0.2486 0.8743
Al6 Al 0.0000 0.0000 0.2496
Al7 Al 0.5000 0.7514 0.1257
Al8 Al 0.0000 0.5000 0.2504
Ti2 Ti 0.5000 0.7500 0.3749
Ti3 Ti 0.5000 0.7500 0.8749
Ga2 Ga 0.0000 0.0000 0.5000
Al9 Al 0.5000 0.7486 0.6258
Ti4 Ti 0.5000 0.2500 0.6251
Al10 Al 0.0000 0.5000 0.5000
```

=====

[3]
Below is an optimized crystal structure of Tb2YUAs4, with properties calculated at the PBE-GGA level.

Output
- SG: P2/m
- ΔH_f (0 K): -1.3391 eV per atom
- Energy: -7.040 eV per atom

Structure (CIF):
```
data_Tb2YUAs4
_chemical_formula_sum 'Tb2 Y1 U1 As4'
_space_group_name_H-M_alt 'P 1'
_space_group_IT_number 1
_cell_length_a 4.1040
_cell_length_b 7.1314
_cell_length_c 7.1323
_cell_angle_alpha 109.17
_cell_angle_beta 90.00
_cell_angle_gamma 90.00
loop_
_space_group_symop_operation_xyz
'x,y,z'
loop_
_atom_site_label
_atom_site_type_symbol
_atom_site_fract_x
_atom_site_fract_y
_atom_site_fract_z
As1 As 0.5000 0.2530 0.2461
As2 As 0.0000 0.7471 0.2466
As3 As 0.0000 0.2529 0.7534
Y1 Y 0.0000 0.0000 0.0000
Tb1 Tb 0.5000 0.0000 0.5000
U1 U 0.5000 0.5000 0.0000
Tb2 Tb 0.0000 0.5000 0.5000
As4 As 0.5000 0.7470 0.7539
```

=====

[4]
Below is an optimized crystal structure of CoSb2TeH, with properties calculated at the PBE-GGA level.

Output
- SG: P4/mmm
- Energy: -4.183 eV per atom

Structure (CIF):
```
data_CoSb2TeH
_chemical_formula_sum 'Co1 Sb2 Te1 H1'
_space_group_name_H-M_alt 'P 1'
_space_group_IT_number 1
_cell_length_a 5.1524
_cell_length_b 3.6072
_cell_length_c 5.1524
_cell_angle_alpha 90.00
_cell_angle_beta 90.00
_cell_angle_gamma 90.00
loop_
_space_group_symop_operation_xyz
'x,y,z'
loop_
_atom_site_label
_atom_site_type_symbol
_atom_site_fract_x
_atom_site_fract_y
_atom_site_fract_z
Te1 Te 0.5000 0.5000 0.5000
Sb1 Sb 0.5000 0.0000 0.0000
H1 H 0.0000 0.5000 0.0000
Co1 Co 0.0000 0.0000 0.0000
Sb2 Sb 0.0000 0.0000 0.5000
```

=====

[5]
Below is an optimized crystal structure of NbHgGeC2, with properties calculated at the PBE-GGA level.

Output
- SG: P4/mmm
- ΔH_f (0 K): 2.6481 eV per atom
- Energy: -4.039 eV per atom

Structure (CIF):
```
data_NbHgGeC2
_chemical_formula_sum 'Nb1 Hg1 Ge1 C2'
_space_group_name_H-M_alt 'P 1'
_space_group_IT_number 1
_cell_length_a 4.0589
_cell_length_b 5.7108
_cell_length_c 4.0589
_cell_angle_alpha 90.00
_cell_angle_beta 90.00
_cell_angle_gamma 90.00
loop_
_space_group_symop_operation_xyz
'x,y,z'
loop_
_atom_site_label
_atom_site_type_symbol
_atom_site_fract_x
_atom_site_fract_y
_atom_site_fract_z
C1 C 0.0000 0.0000 0.5000
Nb1 Nb 0.0000 0.5000 0.0000
Ge1 Ge 0.5000 0.5000 0.5000
Hg1 Hg 0.0000 0.0000 0.0000
C2 C 0.5000 0.0000 0.0000
```

=====

[6]
Below is an optimized crystal structure of ReRh, with properties calculated at the PBE-GGA level.

Output
- SG: Cm
- ΔH_f (0 K): 0.1046 eV per atom
- Energy: -9.795 eV per atom

Structure (CIF):
```
data_ReRh
_chemical_formula_sum 'Re3 Rh3'
_space_group_name_H-M_alt 'P 1'
_space_group_IT_number 1
_cell_length_a 5.0759
_cell_length_b 5.0759
_cell_length_c 5.4153
_cell_angle_alpha 60.14
_cell_angle_beta 60.14
_cell_angle_gamma 50.30
loop_
_space_group_symop_operation_xyz
'x,y,z'
loop_
_atom_site_label
_atom_site_type_symbol
_atom_site_fract_x
_atom_site_fract_y
_atom_site_fract_z
Re1 Re 0.0034 0.0034 0.5798
Re2 Re 0.0005 0.0005 0.0513
Re3 Re 0.3319 0.3319 0.7772
Rh1 Rh 0.3278 0.3278 0.2618
Rh2 Rh 0.6851 0.6851 0.6521
Rh3 Rh 0.6513 0.6513 0.1779
```

=====

[7]
Below is an optimized crystal structure of SmMnCo10, with properties calculated at the PBE-GGA level.

Output
- SG: Pmmm
- ΔH_f (0 K): 0.0828 eV per atom
- Energy: -6.996 eV per atom

Structure (CIF):
```
data_SmMnCo10
_chemical_formula_sum 'Sm1 Mn1 Co10'
_space_group_name_H-M_alt 'P 1'
_space_group_IT_number 1
_cell_length_a 4.0217
_cell_length_b 4.7600
_cell_length_c 8.4196
_cell_angle_alpha 90.00
_cell_angle_beta 90.00
_cell_angle_gamma 90.00
loop_
_space_group_symop_operation_xyz
'x,y,z'
loop_
_atom_site_label
_atom_site_type_symbol
_atom_site_fract_x
_atom_site_fract_y
_atom_site_fract_z
Mn1 Mn 0.0000 0.5000 0.5000
Co1 Co 0.5000 0.7469 0.2567
Co2 Co 0.5000 0.7469 0.7433
Co3 Co 0.0000 0.0000 0.6511
Sm1 Sm 0.0000 0.0000 0.0000
Co4 Co 0.5000 0.5000 0.0000
Co5 Co 0.5000 0.0000 0.5000
Co6 Co 0.5000 0.2531 0.7433
Co7 Co 0.5000 0.2531 0.2567
Co8 Co 0.0000 0.5000 0.7962
Co9 Co 0.0000 0.0000 0.3489
Co10 Co 0.0000 0.5000 0.2038
```

=====

[8]
Below is an optimized crystal structure of SiAsP, with properties calculated at the PBE-GGA level.

Output
- SG: P3m1
- Energy: -5.013 eV per atom

Structure (CIF):
```
data_SiAsP
_chemical_formula_sum 'Si1 As1 P1'
_space_group_name_H-M_alt 'P 1'
_space_group_IT_number 1
_cell_length_a 3.6205
_cell_length_b 3.6205
_cell_length_c 4.4813
_cell_angle_alpha 90.00
_cell_angle_beta 90.00
_cell_angle_gamma 120.00
loop_
_space_group_symop_operation_xyz
'x,y,z'
loop_
_atom_site_label
_atom_site_type_symbol
_atom_site_fract_x
_atom_site_fract_y
_atom_site_fract_z
Si1 Si 0.3333 0.6667 0.6456
As1 As 0.0000 0.0000 0.9883
P1 P 0.6667 0.3333 0.3660
```

=====

[9]
Below is an optimized crystal structure of EuSF, with properties calculated at the PBE-GGA level.

Output
- SG: I4mm
- Energy: -7.581 eV per atom

Structure (CIF):
```
data_EuSF
_chemical_formula_sum 'Eu1 S1 F1'
_space_group_name_H-M_alt 'P 1'
_space_group_IT_number 1
_cell_length_a 3.3955
_cell_length_b 3.3955
_cell_length_c 5.4766
_cell_angle_alpha 108.06
_cell_angle_beta 108.06
_cell_angle_gamma 90.00
loop_
_space_group_symop_operation_xyz
'x,y,z'
loop_
_atom_site_label
_atom_site_type_symbol
_atom_site_fract_x
_atom_site_fract_y
_atom_site_fract_z
S1 S 0.0100 0.0100 0.0200
Eu1 Eu 0.7013 0.7013 0.4025
F1 F 0.2888 0.2888 0.5775
```

=====

[10]
Below is an optimized crystal structure of Pm2AlGePd6, with properties calculated at the PBE-GGA level.

Output
- SG: C2/m
- ΔH_f (0 K): -0.7102 eV per atom
- Energy: -5.612 eV per atom

Structure (CIF):
```
data_Pm2AlGePd6
_chemical_formula_sum 'Pm2 Al1 Ge1 Pd6'
_space_group_name_H-M_alt 'P 1'
_space_group_IT_number 1
_cell_length_a 6.4880
_cell_length_b 6.5317
_cell_length_c 8.7034
_cell_angle_alpha 47.83
_cell_angle_beta 48.26
_cell_angle_gamma 75.23
loop_
_space_group_symop_operation_xyz
'x,y,z'
loop_
_atom_site_label
_atom_site_type_symbol
_atom_site_fract_x
_atom_site_fract_y
_atom_site_fract_z
Pd1 Pd 0.7983 0.7014 0.4982
Al1 Al 0.0000 0.0000 0.0000
Pd2 Pd 0.2987 0.2019 0.9976
Pd3 Pd 0.7521 0.2477 0.1674
Pd4 Pd 0.7013 0.7981 0.0024
Pd5 Pd 0.2016 0.2986 0.5019
Pm1 Pm 0.2479 0.7520 0.4984
Pd6 Pd 0.2479 0.7523 0.8326
Ge1 Ge 0.5000 0.5000 0.0000
Pm2 Pm 0.7521 0.2480 0.5016
```